A relaxed structure of Cd5Au3. Source: Alexandria via LeMat-Bulk, functional PBEsol.

It has space group Cmmm (No. 65), with a = 7.824 Å, b = 8.770 Å, c = 4.348 Å, α = 90.00°, β = 90.00° and γ = 90.00°. The inequivalent atoms are Cd at (0.000, 0.000, 0.000), Cd at (0.230, 0.500, 0.500), Cd at (0.250, 0.250, 0.000), Au at (0.000, 0.232, 0.500) and Au at (0.000, 0.500, 0.000).

The value obtained for the magnetic moment is 0.00 μB per atom. Its energy above the most stable polymorph in this dataset is 37 meV per atom. As for the total energy: -2.3567 eV/atom. The value obtained for the calculated formation energy is -0.14 eV/atom.